No. 1
Compound: BaAsP
Source: Alexandria
Functional: PBE
Structure: optimized geometry

```
BaAsP
1.0
4.494 0.000 0.000
-2.247 3.892 0.000
0.000 0.000 4.703
Ba As P
1 1 1
Cartesian
0.000 0.000 0.000
0.000 2.595 2.231
2.247 1.297 2.550
```

Output
Total magnetization, μB/cell: 0.00
ρ, g/cm³: 4.91
Calculated formation energy, kJ/mol of atoms: -65.8
Total DFT energy (no corrections), eV per atom: -4.6758

No. 2
Compound: BaAsP2
Source: Alexandria
Functional: PBE
Structure: optimized geometry

```
BaAsP2
1.0
7.379 0.000 0.000
0.000 7.379 0.000
0.000 0.000 8.087
Ba As P
4 4 8
Cartesian
0.000 0.000 0.000
0.000 3.690 2.022
3.690 0.000 6.065
3.690 3.690 4.044
0.000 0.000 4.044
0.000 3.690 6.065
3.690 0.000 2.022
3.690 3.690 0.000
1.187 1.845 5.055
1.845 4.877 7.076
1.845 6.192 3.033
2.503 1.845 1.011
4.877 5.535 1.011
5.535 1.187 3.033
5.535 2.503 7.076
6.192 5.535 5.055
```

Output
Total magnetization, μB/cell: 0.00
ρ, g/cm³: 4.14
Calculated formation energy, kJ/mol of atoms: -30.6
Total DFT energy (no corrections), eV per atom: -4.6647

No. 3
Compound: Ba4AsP2
Source: Alexandria
Functional: PBE
Structure: optimized geometry

```
Ba4AsP2
1.0
4.942 -7.025 0.000
4.942 7.025 0.000
-4.937 0.000 7.022
Ba As P
8 2 4
Cartesian
2.473 7.016 3.511
-1.184 2.547 6.062
2.480 3.524 5.084
3.752 0.969 2.528
1.285 -2.547 2.550
1.283 -0.969 6.039
4.949 -3.524 1.573
4.942 -7.016 0.000
6.821 1.754 0.783
4.352 -1.754 4.295
3.116 4.391 1.664
0.643 0.879 3.419
-1.826 -0.879 6.930
0.647 -4.391 5.175
```

Output
Total magnetization, μB/cell: 0.00
ρ, g/cm³: 4.67
Calculated formation energy, kJ/mol of atoms: -94.1
Total DFT energy (no corrections), eV per atom: -4.2842

No. 4
Compound: Ba12As3P5
Source: Alexandria
Functional: PBE
Structure: optimized geometry

```
Ba12As3P5
1.0
-9.558 9.558 9.558
9.558 -9.558 9.558
9.558 9.558 -9.558
Ba As P
48 12 20
Cartesian
2.930 -0.401 1.213
11.407 5.991 -5.180
12.488 0.401 1.213
11.407 -3.566 5.180
9.157 -1.213 2.930
14.738 -1.849 3.566
1.213 2.930 -0.401
13.124 4.378 -1.849
5.991 5.180 -1.849
8.345 2.930 0.401
-0.401 1.213 2.930
5.180 -1.849 5.991
9.157 8.345 -2.930
5.180 1.849 3.566
5.991 -5.180 11.407
8.345 -2.930 9.157
3.566 5.180 1.849
10.770 6.628 0.401
5.180 11.407 -3.566
9.157 1.213 6.628
2.930 9.157 -1.213
11.407 3.566 4.378
1.849 3.566 5.180
2.930 0.401 8.345
6.628 9.157 1.213
7.709 5.991 4.378
-1.849 5.991 5.180
6.628 0.401 10.770
0.401 8.345 2.930
4.378 -1.849 13.124
-1.213 2.930 9.157
5.991 4.378 7.709
1.213 12.488 0.401
3.566 14.738 -1.849
4.378 7.709 5.991
0.401 1.213 12.488
4.378 11.407 3.566
9.959 8.345 6.628
1.213 6.628 9.157
3.566 4.378 11.407
-3.566 5.180 11.407
8.345 6.628 9.959
-5.180 11.407 5.991
0.401 10.770 6.628
-1.849 13.124 4.378
-2.930 9.157 8.345
-1.849 3.566 14.738
6.628 9.959 8.345
4.779 2.389 0.000
9.558 4.779 -2.389
2.389 0.000 4.779
11.947 0.000 4.779
0.000 4.779 2.389
4.779 -2.389 9.558
4.779 11.947 0.000
9.558 4.779 7.168
-2.389 9.558 4.779
7.168 9.558 4.779
0.000 4.779 11.947
4.779 7.168 9.558
0.000 0.000 0.000
4.779 4.779 -4.779
4.779 -4.779 4.779
9.558 0.000 0.000
14.337 2.389 0.000
9.558 -4.779 7.168
7.168 9.558 -4.779
7.168 0.000 4.779
4.779 7.168 0.000
9.558 4.779 2.389
-4.779 4.779 4.779
0.000 9.558 0.000
0.000 0.000 9.558
4.779 4.779 4.779
0.000 4.779 7.168
4.779 2.389 9.558
2.389 9.558 4.779
2.389 0.000 14.337
0.000 14.337 2.389
-4.779 7.168 9.558
```

Output
Total magnetization, μB/cell: 0.00
ρ, g/cm³: 3.86
Calculated formation energy, kJ/mol of atoms: -85.5
Total DFT energy (no corrections), eV per atom: -4.0900

No. 5
Compound: Ba8AsP2
Source: Alexandria
Functional: PBE
Structure: optimized geometry

```
Ba8AsP2
1.0
10.321 0.000 0.000
-5.161 8.938 0.000
0.000 0.000 6.622
Ba As P
8 1 2
Cartesian
-2.653 7.482 1.571
0.007 2.900 1.571
2.515 1.444 5.050
0.000 5.959 4.754
5.161 2.979 1.867
2.646 7.495 1.571
5.153 6.039 5.050
7.814 1.456 5.050
0.000 0.000 0.000
0.000 5.959 1.340
5.161 2.979 5.282
```

Output
Total magnetization, μB/cell: 2.56
ρ, g/cm³: 3.36
Calculated formation energy, kJ/mol of atoms: -45.4
Total DFT energy (no corrections), eV per atom: -3.2747

No. 6
Compound: BaAs2P2
Source: Alexandria
Functional: PBE
Structure: optimized geometry

```
BaAs2P2
1.0
4.377 0.000 0.000
0.000 4.377 0.000
0.000 0.000 12.214
Ba As P
2 4 4
Cartesian
0.000 0.000 0.000
2.188 2.188 6.107
0.000 2.188 3.054
0.000 2.188 9.161
2.188 0.000 3.054
2.188 0.000 9.161
0.000 0.000 5.050
0.000 0.000 7.164
2.188 2.188 1.057
2.188 2.188 11.157
```

Output
Total magnetization, μB/cell: 0.00
ρ, g/cm³: 4.96
Calculated formation energy, kJ/mol of atoms: -13.7
Total DFT energy (no corrections), eV per atom: -4.5503